First-principles (PBE) data for CsRbZn2Cl6 after structural relaxation, as listed in Alexandria.

Cell lengths 9.505, 9.505, 8.552 Å; angles 102.07, 102.07, 82.27 degrees
Element x y z (fractional)
Zn 0.597 0.879 0.375
Zn 0.121 0.403 0.125
Zn 0.403 0.121 0.625
Zn 0.879 0.597 0.875
Cs 0.132 0.868 0.250
Cs 0.868 0.132 0.750
Cl 0.481 0.743 0.150
Cl 0.833 0.835 0.942
Cl 0.165 0.167 0.558
Cl 0.519 0.257 0.850
Cl 0.870 0.472 0.093
Cl 0.130 0.528 0.907
Cl 0.472 0.870 0.593
Cl 0.743 0.481 0.650
Cl 0.528 0.130 0.407
Cl 0.167 0.165 0.058
Cl 0.835 0.833 0.442
Cl 0.257 0.519 0.350
Rb 0.415 0.585 0.750
Rb 0.585 0.415 0.250

## Properties
The magnetic moment is 0.16 μB per formula unit. The density of states at the Fermi level comes out at 0.000 states/eV per atom. The total energy is -60.91 eV per cell.

First-principles (PBE) data for CsRb2ZrCl8 after structural relaxation, as listed in Alexandria.

Cell lengths 7.261, 5.791, 9.828 Å; angles 73.74, 90.06, 90.02 degrees
Element x y z (fractional)
Cl 0.500 0.758 0.500
Cl 0.246 0.184 0.112
Cl 0.500 0.242 0.500
Cl 0.000 0.657 0.222
Cl 0.245 0.816 0.887
Cl 0.754 0.816 0.888
Cl 0.755 0.184 0.113
Cl 0.000 0.343 0.778
Rb 0.500 0.648 0.192
Rb 0.500 0.352 0.808
Zr 0.000 0.000 0.000
Cs 0.000 0.000 0.500

## Properties
The magnetic moment is 0.00 μB per formula unit. The density of states at the Fermi level comes out at 0.124 states/eV per atom. The total energy is -47.27 eV per cell.

First-principles (PBE) data for Cs2RbZrCl8 after structural relaxation, as listed in Alexandria.

Cell lengths 7.447, 6.457, 9.523 Å; angles 74.80, 90.53, 89.98 degrees
Each line ends with the local moment (μB).
Element x y z (fractional)
Cl 0.244 0.170 0.111  0.00
Cl 0.228 0.819 0.882  0.00
Cl 0.756 0.830 0.889  0.00
Cl 0.577 0.816 0.509  0.37
Cl 0.772 0.181 0.118  0.00
Cl 0.423 0.184 0.491  0.37
Cl 0.997 0.304 0.772  0.00
Cl 0.003 0.696 0.228  0.00
Cs 0.498 0.640 0.203  0.00
Cs 0.502 0.360 0.797  0.00
Zr 0.000 0.000 0.000  0.00
Rb 0.000 0.000 0.500  0.00

## Properties
The magnetic moment is 1.00 μB per formula unit. The total energy is -46.98 eV per cell.

First-principles (PBE) data for CsRe3Cl after structural relaxation, as listed in Alexandria.

Cell lengths 5.076, 5.076, 5.076 Å; angles 90.00, 90.00, 90.00 degrees
Each line ends with the local moment (μB).
Element x y z (fractional)
Cl 0.500 0.500 0.500  0.31
Cs 0.000 0.000 0.000  -0.01
Re 0.500 0.000 0.000  1.85
Re 0.000 0.000 0.500  1.54
Re 0.000 0.500 0.000  1.62

## Properties
The magnetic moment is 6.17 μB per formula unit. The density of states at the Fermi level comes out at 1.773 states/eV per atom. The value obtained for the energy above the lowest structure with this stoichiometry is 1690 meV/atom. The total energy is -18.59 eV per cell.